Record 1
The following is a PBE calculation of a relaxed structure of AlNiCl2, from Alexandria via LeMat-Bulk.

Summary:
density of states at the Fermi level	3.5	states/eV/cell
final energy	-14.0	eV for the cell shown
total moment	0.36	μB/atom

abc: 8.5241 8.5241 8.5241
angles: 22.79 22.79 22.79
Closest atoms and distances in Å follow each position.
Fractional coordinates of all 4 atoms:
Ni: 0.5000 0.5000 0.5000  6 Cl 2.40
Al: 0.0000 0.0000 0.0000  2 Cl 2.75
Cl: 0.8896 0.8896 0.8896  3 Ni 2.40
Cl: 0.1104 0.1104 0.1104  3 Ni 2.40



Record 2
The following is a PBE calculation of a relaxed structure of La2Dy2Se2S3, from Alexandria via LeMat-Bulk.

Summary:
density of states at the Fermi level	5.1	states/eV/cell
final energy	-54.0	eV for the cell shown
total moment	0.00	μB/atom

abc: 5.4033 5.4033 8.6778
angles: 108.14 108.14 90.00
Closest atoms and distances in Å follow each position.
Fractional coordinates of all 9 atoms:
La: 0.1983 0.1983 0.3965  5 S 2.82-3.09, 1 Se 3.12
La: 0.8017 0.8017 0.6035  5 S 2.82-3.09, 1 Se 3.12
Dy: 0.5000 0.0000 0.0000  2 S 2.70
Dy: 0.0000 0.5000 0.0000  2 S 2.70
Se: 0.6012 0.6012 0.2024  1 La 3.12, 4 Dy 3.13, 1 Se 3.15
Se: 0.3988 0.3988 0.7976  1 La 3.12, 4 Dy 3.13, 1 Se 3.15
S: 0.0000 0.0000 0.0000  4 Dy 2.70
S: 0.2500 0.7500 0.5000  4 La 2.82
S: 0.7500 0.2500 0.5000  4 La 2.82



Record 3
The following is a PBE calculation of a relaxed structure of Sc5CuRu4, from Alexandria via LeMat-Bulk.

Summary:
density of states at the Fermi level	6.0	states/eV/cell
final energy	-78.2	eV for the cell shown
total moment	0.00	μB/atom

abc: 3.2403 3.2403 15.9972
angles: 90.00 90.00 90.00
Closest atoms and distances in Å follow each position.
Fractional coordinates of all 10 atoms:
Sc: 0.5000 0.5000 0.1062  4 Ru 2.70, 4 Cu 2.85
Sc: 0.5000 0.5000 0.3028  8 Ru 2.76-2.86
Sc: 0.5000 0.5000 0.5000  8 Ru 2.80
Sc: 0.5000 0.5000 0.6972  8 Ru 2.76-2.86
Sc: 0.5000 0.5000 0.8938  4 Ru 2.70, 4 Cu 2.85
Cu: 0.0000 0.0000 0.0000  8 Sc 2.85, 2 Ru 3.14
Ru: 0.0000 0.0000 0.1960  8 Sc 2.70-2.86
Ru: 0.0000 0.0000 0.3993  8 Sc 2.76-2.80
Ru: 0.0000 0.0000 0.6007  8 Sc 2.76-2.80
Ru: 0.0000 0.0000 0.8040  8 Sc 2.70-2.86



Record 4
The following is a PBE calculation of a relaxed structure of NaSrNiH6, from Alexandria via LeMat-Bulk.

Summary:
density of states at the Fermi level	1.8	states/eV/cell
final energy	-31.3	eV for the cell shown
total moment	0.00	μB/atom

abc: 4.9196 4.9193 4.5125
angles: 89.99 90.00 59.99
Closest atoms and distances in Å follow each position.
Fractional coordinates of all 9 atoms:
Na: 0.6666 0.6667 0.3451  9 H 2.39-2.46
Sr: 0.0000 0.9999 0.8433  12 H 2.50-2.73
Ni: 0.3333 0.3333 0.5396  6 H 1.58
H: 0.1790 0.1791 0.3461  1 Ni 1.58
H: 0.4832 0.0336 0.7445  1 Ni 1.58
H: 0.4831 0.4831 0.7445  1 Ni 1.58
H: 0.0337 0.4831 0.7445  1 Ni 1.58
H: 0.1789 0.6421 0.3461  1 Ni 1.58
H: 0.6419 0.1791 0.3461  1 Ni 1.58



Record 5
The following is a PBE calculation of a relaxed structure of ErSeS, from Alexandria via LeMat-Bulk.

Summary:
density of states at the Fermi level	2.2	states/eV/cell
final energy	-34.3	eV for the cell shown
total moment	0.00	μB/atom

abc: 3.9132 5.2973 7.3942
angles: 110.99 105.34 90.00
Closest atoms and distances in Å follow each position.
Fractional coordinates of all 6 atoms:
Er: 0.1520 0.6520 0.3039  4 S 2.65-2.77
Er: 0.8480 0.3480 0.6961  4 S 2.65-2.77
Se: 0.5000 0.7509 0.0000  2 Se 2.64-2.66
Se: 0.5000 0.2491 0.0000  2 Se 2.64-2.66
S: 0.7868 0.7868 0.5737  4 Er 2.65-2.77
S: 0.2132 0.2132 0.4263  4 Er 2.65-2.77



Record 6
The following is a PBE calculation of a relaxed structure of CaTa2Pb, from Alexandria via LeMat-Bulk.

Summary:
density of states at the Fermi level	3.3	states/eV/cell
final energy	-26.6	eV for the cell shown
total moment	0.00	μB/atom

abc: 5.7775 5.7775 3.0230
angles: 90.00 90.00 117.31
Closest atoms and distances in Å follow each position.
Fractional coordinates of all 4 atoms:
Pb: 0.0000 0.5000 0.5000  2 Ca 3.01, 2 Pb 3.02, 8 Ta 3.26
Ca: 0.5000 0.0000 0.5000  2 Pb 3.01, 2 Ca 3.02, 8 Ta 3.26
Ta: 0.0000 0.0000 0.0000  4 Ta 3.01-3.02, 4 Ca 3.26, 4 Pb 3.26
Ta: 0.5000 0.5000 0.0000  4 Ta 3.01-3.02, 4 Pb 3.26, 4 Ca 3.26



Record 7
The following is a PBE calculation of a relaxed structure of AcPm5Sm2Tm, from Alexandria via LeMat-Bulk.

Summary:
density of states at the Fermi level	23.0	states/eV/cell
final energy	-78.7	eV for the cell shown
total moment	0.00	μB/atom

abc: 9.0145 9.0145 10.1024
angles: 116.50 116.50 90.00
Closest atoms and distances in Å follow each position.
Fractional coordinates of all 18 atoms:
Ac: 0.2500 0.2500 0.5000  10 Pm 3.73-3.92
Ac: 0.7500 0.7500 0.5000  10 Pm 3.73-3.92
Pm: 0.9282 0.4282 0.2648  1 Sm 3.10, 1 Tm 3.19
Pm: 0.6633 0.1633 0.7352  1 Sm 3.10, 1 Tm 3.19
Pm: 0.0718 0.5718 0.7352  1 Sm 3.10, 1 Tm 3.19
Pm: 0.1633 0.0718 0.7352  1 Sm 3.10, 1 Tm 3.19
Pm: 0.5718 0.6633 0.7352  1 Sm 3.10, 1 Tm 3.19
Pm: 0.8367 0.9282 0.2648  1 Sm 3.10, 1 Tm 3.19
Pm: 0.4282 0.3367 0.2648  1 Sm 3.10, 1 Tm 3.19
Pm: 0.3367 0.8367 0.2648  1 Sm 3.10, 1 Tm 3.19
Pm: 0.5000 0.5000 0.0000  4 Sm 3.62, 8 Pm 3.85, 2 Ac 3.92
Pm: 0.0000 0.0000 0.0000  4 Sm 3.62, 8 Pm 3.85, 2 Ac 3.92
Sm: 0.1156 0.3844 0.0000  1 Sm 2.95, 2 Pm 3.10
Sm: 0.6156 0.1156 0.0000  1 Sm 2.95, 2 Pm 3.10
Sm: 0.3844 0.8844 0.0000  1 Sm 2.95, 2 Pm 3.10
Sm: 0.8844 0.6156 0.0000  1 Sm 2.95, 2 Pm 3.10
Tm: 0.2500 0.7500 0.5000  4 Pm 3.19
Tm: 0.7500 0.2500 0.5000  4 Pm 3.19



Record 8
The following is a PBE calculation of a relaxed structure of Ca2Si2NiPt5, from Alexandria via LeMat-Bulk.

Summary:
density of states at the Fermi level	4.3	states/eV/cell
final energy	-116.5	eV for the cell shown
total moment	0.00	μB/atom

abc: 3.4898 9.7829 9.7829
angles: 90.00 90.00 90.00
Closest atoms and distances in Å follow each position.
Fractional coordinates of all 20 atoms:
Ca: 0.0000 0.6740 0.1740  3 Si 2.73-2.99, 2 Pt 2.97
Ca: 0.0000 0.3260 0.8260  3 Si 2.73-2.99, 2 Pt 2.97
Ca: 0.0000 0.1740 0.3260  3 Si 2.73-2.99, 2 Pt 2.97
Ca: 0.0000 0.8260 0.6740  3 Si 2.73-2.99, 2 Pt 2.97
Si: 0.0000 0.1284 0.6284  6 Pt 2.49, 1 Ca 2.73
Si: 0.0000 0.8716 0.3716  6 Pt 2.49, 1 Ca 2.73
Si: 0.0000 0.6284 0.8716  6 Pt 2.49, 1 Ca 2.73
Si: 0.0000 0.3716 0.1284  6 Pt 2.49, 1 Ca 2.73
Ni: 0.0000 0.0000 0.0000  8 Pt 2.71
Ni: 0.0000 0.5000 0.5000  8 Pt 2.71
Pt: 0.5000 0.2024 0.0637  2 Si 2.49, 2 Ni 2.71
Pt: 0.5000 0.7976 0.9363  2 Si 2.49, 2 Ni 2.71
Pt: 0.5000 0.0637 0.7976  2 Si 2.49, 2 Ni 2.71
Pt: 0.5000 0.7024 0.4363  2 Si 2.49, 2 Ni 2.71
Pt: 0.5000 0.9363 0.2024  2 Si 2.49, 2 Ni 2.71
Pt: 0.5000 0.2976 0.5637  2 Si 2.49, 2 Ni 2.71
Pt: 0.5000 0.5637 0.7024  2 Si 2.49, 2 Ni 2.71
Pt: 0.5000 0.4363 0.2976  2 Si 2.49, 2 Ni 2.71
Pt: 0.5000 0.5000 0.0000  4 Si 2.49
Pt: 0.5000 0.0000 0.5000  4 Si 2.49



Record 9
The following is a PBE calculation of a relaxed structure of CaHo4PuSe8, from Alexandria via LeMat-Bulk.

Summary:
density of states at the Fermi level	17.3	states/eV/cell
final energy	-86.8	eV for the cell shown
total moment	0.43	μB/atom

abc: 8.4461 8.4461 8.5054
angles: 60.23 60.23 60.00
Closest atoms and distances in Å follow each position.
Fractional coordinates of all 14 atoms:
Ca: 0.3756 0.3756 0.8733  4 Se 2.79-2.83
Ho: 0.6247 0.6247 0.1260  4 Se 2.73-2.78
Ho: 0.0022 0.4932 0.5023  6 Se 2.82-2.93
Ho: 0.4932 0.0022 0.5023  6 Se 2.82-2.93
Ho: 0.0022 0.0022 0.5023  6 Se 2.82-2.93
Pu: 0.0007 0.0007 0.9979  6 Se 2.94-2.99
Se: 0.2451 0.7801 0.7297  1 Ca 2.79, 2 Ho 2.82, 1 Pu 2.94
Se: 0.7801 0.2451 0.7297  1 Ca 2.79, 2 Ho 2.82, 1 Pu 2.94
Se: 0.2451 0.2451 0.7297  1 Ca 2.79, 2 Ho 2.82, 1 Pu 2.94
Se: 0.2401 0.2401 0.2796  1 Ca 2.83, 3 Ho 2.85
Se: 0.7519 0.2295 0.2668  3 Ho 2.73-2.92, 1 Pu 2.99
Se: 0.2295 0.7519 0.2668  3 Ho 2.73-2.92, 1 Pu 2.99
Se: 0.7519 0.7519 0.2668  3 Ho 2.73-2.92, 1 Pu 2.99
Se: 0.7578 0.7578 0.7267  4 Ho 2.78-2.93



Record 10
The following is a PBE calculation of a relaxed structure of Mn2Pb3, from Alexandria via LeMat-Bulk.

Summary:
density of states at the Fermi level	3.9	states/eV/cell
final energy	-27.3	eV for the cell shown
total moment	1.56	μB/atom

abc: 12.7922 12.7922 12.7922
angles: 15.09 15.09 15.09
Closest atoms and distances in Å follow each position.
Fractional coordinates of all 5 atoms:
Mn: 0.6065 0.6065 0.6065  6 Pb 2.99-3.06
Mn: 0.3935 0.3935 0.3935  6 Pb 2.99-3.06
Pb: 0.0000 0.0000 0.0000  6 Mn 2.99
Pb: 0.2109 0.2109 0.2109  3 Mn 3.06, 6 Pb 3.36
Pb: 0.7891 0.7891 0.7891  3 Mn 3.06, 6 Pb 3.36



Record 11
The following is a PBE calculation of a relaxed structure of Cr2FeAg, from Alexandria via LeMat-Bulk.

Summary:
density of states at the Fermi level	4.1	states/eV/cell
final energy	-28.3	eV for the cell shown
total moment	0.35	μB/atom

abc: 4.9501 4.9501 4.9501
angles: 144.96 130.65 61.96
Closest atoms and distances in Å follow each position.
Fractional coordinates of all 4 atoms:
Ag: 0.2500 0.7500 0.5000  4 Fe 2.55, 4 Cr 2.72
Cr: 0.9824 0.9824 0.0000  2 Fe 2.47, 4 Cr 2.57, 2 Ag 2.72
Cr: 0.5176 0.5176 0.0000  2 Fe 2.47, 4 Cr 2.57, 2 Ag 2.72
Fe: 0.7500 0.2500 0.5000  4 Cr 2.47, 4 Ag 2.55



Record 12
The following is a PBE calculation of a relaxed structure of NaCr2GaCl, from Alexandria via LeMat-Bulk.

Summary:
density of states at the Fermi level	3.7	states/eV/cell
final energy	-22.7	eV for the cell shown
total moment	1.64	μB/atom

abc: 4.8207 5.7916 4.8207
angles: 90.00 90.00 90.00
Closest atoms and distances in Å follow each position.
Fractional coordinates of all 5 atoms:
Cr: 0.0000 0.0000 0.5000  2 Ga 2.41
Cr: 0.5000 0.0000 0.0000  2 Ga 2.41
Na: 0.0000 0.5000 0.0000  2 Ga 2.90
Ga: 0.0000 0.0000 0.0000  4 Cr 2.41
Cl: 0.5000 0.5000 0.5000  4 Na 3.41, 8 Cr 3.77